[1]
! Ac2PbAu2 GGA-PBE relaxed; values from VASP
&SYSTEM
  ibrav = 0, nat = 10, ntyp = 3
/
ATOMIC_SPECIES
Ac 227.00 Ac.upf
Pb 207.20 Pb.upf
Au 196.97 Au.upf
CELL_PARAMETERS angstrom
8.493 0.000 0.000
0.000 8.493 0.000
0.000 0.000 4.175
ATOMIC_POSITIONS crystal
Ac 0.175 0.325 0.000
Ac 0.325 0.825 0.000
Ac 0.675 0.175 0.000
Ac 0.825 0.675 0.000
Pb 0.000 0.000 0.500
Pb 0.500 0.500 0.500
Au 0.123 0.623 0.500
Au 0.377 0.123 0.500
Au 0.623 0.877 0.500
Au 0.877 0.377 0.500
! formation energy = -0.782 eV/atom
! DOS(E_F) = 0.59 states/eV per atom
! theoretical density = 11.63 g/cm³
! calculated total energy = -44.8 eV per cell
! symmetry = P4/mbm, No. 127


[2]
! YAgMo2 GGA-PBE relaxed; values from VASP
&SYSTEM
  ibrav = 0, nat = 4, ntyp = 3
/
ATOMIC_SPECIES
Y 88.91 Y.upf
Ag 107.87 Ag.upf
Mo 95.94 Mo.upf
CELL_PARAMETERS angstrom
2.777 0.000 0.000
0.000 4.977 0.000
0.000 0.000 5.609
ATOMIC_POSITIONS crystal
Y 0.000 0.000 0.000
Ag 0.000 0.000 0.500
Mo 0.500 0.500 0.231
Mo 0.500 0.500 0.769
! formation energy = 0.603 eV/atom
! DOS(E_F) = 0.56 states/eV per atom
! energy above the most stable polymorph in this dataset = 0.409 eV per atom
! theoretical density = 8.32 g/cm³
! calculated total energy = -28.6 eV per cell
! symmetry = Pmmm, No. 47


[3]
! NaBeAl2 GGA-PBE relaxed; values from VASP
&SYSTEM
  ibrav = 0, nat = 8, ntyp = 3
/
ATOMIC_SPECIES
Na 22.99 Na.upf
Be 9.01 Be.upf
Al 26.98 Al.upf
CELL_PARAMETERS angstrom
-2.451 2.451 8.020
2.451 -2.451 8.020
2.451 2.451 -8.020
ATOMIC_POSITIONS crystal
Na 0.000 0.000 0.000
Na 0.750 0.250 0.500
Be 0.250 0.750 0.500
Be 0.500 0.500 0.000
Al 0.307 0.625 0.182
Al 0.375 0.557 0.682
Al 0.443 0.125 0.818
Al 0.875 0.693 0.318
! formation energy = 0.547 eV/atom
! DOS(E_F) = 0.39 states/eV per atom
! theoretical density = 1.48 g/cm³
! calculated total energy = -20.7 eV per cell
! symmetry = I-42d, No. 122


[4]
! Sc2HRuRh GGA-PBE relaxed; values from VASP
&SYSTEM
  ibrav = 0, nat = 5, ntyp = 4
/
ATOMIC_SPECIES
Sc 44.96 Sc.upf
H 1.01 H.upf
Ru 101.07 Ru.upf
Rh 102.91 Rh.upf
CELL_PARAMETERS angstrom
4.522 0.000 0.000
0.000 4.522 0.000
0.000 0.000 3.438
ATOMIC_POSITIONS crystal
Sc 0.000 0.500 0.000
Sc 0.500 0.000 0.000
H 0.000 0.000 0.000
Ru 0.000 0.000 0.500
Rh 0.500 0.500 0.500
! DOS(E_F) = 0.69 states/eV per atom
! energy above the most stable polymorph in this dataset = 0.000 eV per atom
! theoretical density = 6.97 g/cm³
! calculated total energy = -36.2 eV per cell
! symmetry = P4/mmm, No. 123


[5]
! Cu5PPb3 GGA-PBE relaxed; values from VASP
&SYSTEM
  ibrav = 0, nat = 18, ntyp = 3
/
ATOMIC_SPECIES
Cu 63.55 Cu.upf
P 30.97 P.upf
Pb 207.20 Pb.upf
CELL_PARAMETERS angstrom
5.297 0.000 0.000
0.060 8.034 0.000
2.414 1.486 7.898
ATOMIC_POSITIONS crystal
Cu 0.089 0.415 0.189
Cu 0.122 0.312 0.908
Cu 0.235 0.750 0.524
Cu 0.362 0.656 0.218
Cu 0.385 0.093 0.755
Cu 0.615 0.907 0.245
Cu 0.638 0.344 0.782
Cu 0.765 0.250 0.476
Cu 0.878 0.688 0.092
Cu 0.911 0.585 0.811
P 0.000 0.000 0.500
P 0.500 0.000 0.500
Pb 0.172 0.010 0.140
Pb 0.221 0.376 0.552
Pb 0.384 0.671 0.862
Pb 0.616 0.329 0.138
Pb 0.779 0.624 0.448
Pb 0.828 0.990 0.860
! formation energy = 0.212 eV/atom
! DOS(E_F) = 0.32 states/eV per atom
! theoretical density = 9.59 g/cm³
! calculated total energy = -70.2 eV per cell
! symmetry = P-1, No. 2


[6]
! KTaW GGA-PBE relaxed; values from VASP
&SYSTEM
  ibrav = 0, nat = 3, ntyp = 3
/
ATOMIC_SPECIES
K 39.10 K.upf
Ta 180.95 Ta.upf
W 183.84 W.upf
CELL_PARAMETERS angstrom
2.866 0.000 0.000
-1.433 2.482 0.000
0.000 0.000 8.951
ATOMIC_POSITIONS crystal
K 0.000 0.000 0.000
Ta 0.333 0.667 0.369
W 0.667 0.333 0.649
! formation energy = 1.074 eV/atom
! DOS(E_F) = 0.80 states/eV per atom
! energy above the most stable polymorph in this dataset = 0.166 eV per atom
! theoretical density = 10.53 g/cm³
! calculated total energy = -22.7 eV per cell
! symmetry = P3m1, No. 156


[7]
! Rb3Ag2 GGA-PBE relaxed; values from VASP
&SYSTEM
  ibrav = 0, nat = 10, ntyp = 2
/
ATOMIC_SPECIES
Rb 85.47 Rb.upf
Ag 107.87 Ag.upf
CELL_PARAMETERS angstrom
4.560 2.633 7.407
-4.560 2.633 7.407
0.000 -5.266 7.407
ATOMIC_POSITIONS crystal
Rb 0.112 0.750 0.388
Rb 0.250 0.612 0.888
Rb 0.388 0.112 0.750
Rb 0.612 0.888 0.250
Rb 0.750 0.388 0.112
Rb 0.888 0.250 0.612
Ag 0.186 0.186 0.186
Ag 0.314 0.314 0.314
Ag 0.686 0.686 0.686
Ag 0.814 0.814 0.814
! formation energy = 0.087 eV/atom
! DOS(E_F) = 0.44 states/eV per atom
! theoretical density = 2.94 g/cm³
! calculated total energy = -16.3 eV per cell
! symmetry = R-3c, No. 167


[8]
! HfFe2Tc2 GGA-PBE relaxed; values from VASP
&SYSTEM
  ibrav = 0, nat = 10, ntyp = 3
/
ATOMIC_SPECIES
Hf 178.49 Hf.upf
Fe 55.84 Fe.upf
Tc 98.00 Tc.upf
CELL_PARAMETERS angstrom
7.303 0.000 0.000
0.000 7.303 0.000
0.000 0.000 2.678
ATOMIC_POSITIONS crystal
Hf 0.000 0.000 0.000
Hf 0.500 0.500 0.000
Fe 0.171 0.329 0.500
Fe 0.329 0.829 0.500
Fe 0.671 0.171 0.500
Fe 0.829 0.671 0.500
Tc 0.125 0.625 0.000
Tc 0.375 0.125 0.000
Tc 0.625 0.875 0.000
Tc 0.875 0.375 0.000
! formation energy = 0.103 eV/atom
! DOS(E_F) = 1.13 states/eV per atom
! energy above the most stable polymorph in this dataset = 0.077 eV per atom
! theoretical density = 11.31 g/cm³
! calculated total energy = -94.2 eV per cell
! symmetry = P4/mbm, No. 127


[9]
! Tb2Pr3Cd GGA-PBE relaxed; values from VASP
&SYSTEM
  ibrav = 0, nat = 6, ntyp = 3
/
ATOMIC_SPECIES
Tb 158.93 Tb.upf
Pr 140.91 Pr.upf
Cd 112.41 Cd.upf
CELL_PARAMETERS angstrom
3.680 0.000 0.000
0.000 3.680 0.000
0.000 0.000 14.431
ATOMIC_POSITIONS crystal
Tb 0.000 0.000 0.175
Tb 0.000 0.000 0.825
Pr 0.500 0.500 0.000
Pr 0.500 0.500 0.351
Pr 0.500 0.500 0.649
Cd 0.000 0.000 0.500
! formation energy = -0.087 eV/atom
! DOS(E_F) = 1.31 states/eV per atom
! energy above the most stable polymorph in this dataset = 0.000 eV per atom
! theoretical density = 7.25 g/cm³
! calculated total energy = -25.0 eV per cell
! symmetry = P4/mmm, No. 123


[10]
! SrCd2Cl GGA-PBE relaxed; values from VASP
&SYSTEM
  ibrav = 0, nat = 4, ntyp = 3
/
ATOMIC_SPECIES
Sr 87.62 Sr.upf
Cd 112.41 Cd.upf
Cl 35.45 Cl.upf
CELL_PARAMETERS angstrom
0.000 3.980 3.980
3.980 0.000 3.980
3.980 3.980 0.000
ATOMIC_POSITIONS crystal
Sr 0.000 0.000 0.000
Cd 0.250 0.250 0.250
Cd 0.750 0.750 0.750
Cl 0.500 0.500 0.500
! DOS(E_F) = 0.53 states/eV per atom
! energy above the most stable polymorph in this dataset = 0.433 eV per atom
! theoretical density = 4.58 g/cm³
! calculated total energy = -6.9 eV per cell
! ΔE_f (raw) = -0.378 eV per atom
! symmetry = Fm-3m, No. 225


[11]
! BaZrSe2 GGA-PBE relaxed; values from VASP
&SYSTEM
  ibrav = 0, nat = 4, ntyp = 3
/
ATOMIC_SPECIES
Ba 137.33 Ba.upf
Zr 91.22 Zr.upf
Se 78.96 Se.upf
CELL_PARAMETERS angstrom
3.957 0.000 0.000
0.000 3.957 0.000
0.000 0.000 7.622
ATOMIC_POSITIONS crystal
Ba 0.000 0.000 0.000
Zr 0.500 0.500 0.544
Se 0.000 0.000 0.561
Se 0.500 0.500 0.198
! DOS(E_F) = 0.63 states/eV per atom
! energy above the most stable polymorph in this dataset = 0.298 eV per atom
! theoretical density = 5.38 g/cm³
! calculated total energy = -22.1 eV per cell
! ΔE_f (raw) = -1.159 eV per atom
! symmetry = P4mm, No. 99


[12]
! TaCrTc GGA-PBE relaxed; values from VASP
&SYSTEM
  ibrav = 0, nat = 3, ntyp = 3
/
ATOMIC_SPECIES
Ta 180.95 Ta.upf
Cr 52.00 Cr.upf
Tc 98.00 Tc.upf
CELL_PARAMETERS angstrom
0.000 2.246 6.383
1.558 0.000 6.383
1.558 2.246 0.000
ATOMIC_POSITIONS crystal
Ta 0.000 0.000 0.000
Cr 0.668 0.668 0.332
Tc 0.321 0.321 0.679
! formation energy = 0.027 eV/atom
! DOS(E_F) = 0.76 states/eV per atom
! energy above the most stable polymorph in this dataset = 0.155 eV per atom
! theoretical density = 12.30 g/cm³
! calculated total energy = -31.8 eV per cell
! symmetry = Fmm2, No. 42